Entry 1:
First-principles (PBE) data for an optimized crystal structure of Cs2BaV, as listed in Alexandria via LeMat-Bulk.

a b c (Å): 9.668 9.668 9.668
angles (deg): 90.00 90.00 90.00
Space group Fm-3m (No. 225)
Asymmetric unit:
Cs (0.250, 0.250, 0.250) x8
Ba (0.000, 0.000, 0.000) x4
V (0.000, 0.000, 0.500) x4

Results
DFT formation energy   1030 meV/atom
Calculated volume   56.48 Å³/atom

=====

Entry 2:
First-principles (PBE) data for an optimized crystal structure of Nd2HgC, as listed in Alexandria via LeMat-Bulk.

a b c (Å): 3.7848 3.7848 23.9972
angles (deg): 90.00 90.00 120.00
Space group R-3m (No. 166, hexagonal axes)
Asymmetric unit:
Nd (0.0000, 0.0000, 0.2257) x6
Hg (0.0000, 0.0000, 0.0000) x3
C (0.0000, 0.0000, 0.5000) x3

Results
DFT formation energy   -231 meV/atom
Calculated volume   24.81 Å³/atom

=====

Entry 3:
First-principles (PBE) data for an optimized crystal structure of Dy2Ni3P4Ru, as listed in Alexandria via LeMat-Bulk.

a b c (Å): 3.977 3.977 9.299
angles (deg): 90.00 90.00 90.00
Space group P-4m2 (No. 115)
Asymmetric unit:
Dy (0.000, 0.500, 0.240) x2
Ni (0.000, 0.500, 0.883) x2
Ni (0.500, 0.500, 0.500) x1
P (0.000, 0.000, 0.000) x1
P (0.000, 0.500, 0.640) x2
P (0.500, 0.500, 0.000) x1
Ru (0.000, 0.000, 0.500) x1

Results
DFT formation energy   -975 meV/atom
Calculated volume   14.71 Å³/atom

=====

Entry 4:
First-principles (PBE) data for an optimized crystal structure of CdCu4Pb, as listed in Alexandria via LeMat-Bulk.

a b c (Å): 7.269 7.269 7.269
angles (deg): 90.00 90.00 90.00
Space group F-43m (No. 216)
Asymmetric unit:
Cd (0.000, 0.000, 0.000) x4
Cu (0.126, 0.126, 0.626) x16
Pb (0.250, 0.250, 0.250) x4

Results
DFT formation energy   96 meV/atom
Calculated volume   16.01 Å³/atom

=====

Entry 5:
First-principles (PBE) data for an optimized crystal structure of DyPa2Os, as listed in Alexandria via LeMat-Bulk.

a b c (Å): 3.630 3.630 7.438
angles (deg): 90.00 90.00 90.00
Space group P4/mmm (No. 123)
Asymmetric unit:
Dy (0.000, 0.000, 0.000) x1
Pa (0.500, 0.500, 0.308) x2
Os (0.000, 0.000, 0.500) x1

Results
DFT formation energy   4 meV/atom
Calculated volume   24.50 Å³/atom

=====

Entry 6:
First-principles (PBE) data for an optimized crystal structure of KTeOs3, as listed in Alexandria via LeMat-Bulk.

a b c (Å): 4.942 4.942 4.942
angles (deg): 90.00 90.00 90.00
Space group Pm-3m (No. 221)
Asymmetric unit:
K (0.000, 0.000, 0.000) x1
Te (0.500, 0.500, 0.500) x1
Os (0.000, 0.500, 0.500) x3

Results
Calculated volume   24.14 Å³/atom
Formation energy (no corrections)   2.21 eV per atom

=====

Entry 7:
First-principles (PBE) data for an optimized crystal structure of BeNbMo2, as listed in Alexandria via LeMat-Bulk.

a b c (Å): 7.049 7.049 4.965
angles (deg): 90.00 90.00 90.00
Space group I-42d (No. 122)
Asymmetric unit:
Be (0.000, 0.000, 0.000) x4
Nb (0.000, 0.000, 0.500) x4
Mo (0.201, 0.750, 0.125) x8

Results
DFT formation energy   546 meV/atom
Calculated volume   15.42 Å³/atom

=====

Entry 8:
First-principles (PBE) data for an optimized crystal structure of BiTe2Pb2AuS3, as listed in Alexandria via LeMat-Bulk.

a b c (Å): 4.114 9.690 12.507
angles (deg): 90.00 90.00 90.00
Space group Pmn2_1 (No. 31)
Asymmetric unit:
Bi (0.000, 0.145, 0.000) x2
Te (0.000, 0.505, 0.197) x2
Te (0.000, 0.507, 0.481) x2
Pb (0.000, 0.172, 0.330) x2
Pb (0.000, 0.181, 0.665) x2
Au (0.000, 0.492, 0.839) x2
S (0.000, 0.873, 0.999) x2
S (0.000, 0.883, 0.343) x2
S (0.000, 0.886, 0.658) x2

Results
Calculated volume   27.70 Å³/atom
Formation energy (no corrections)   -0.34 eV per atom